SCAN Ti2Zn2Tc, PBEsol geometry; volume = 15.936 A^3/atom; DFT formation energy = 4 kJ per mole of atoms; crystal system = tetragonal; D(E_F) = 0.87 states/eV/atom; total moment = 0.0 μB/f.u.; space-group type = I4/mmm
1.0
-1.6220 1.6220 7.5718
1.6220 -1.6220 7.5718
1.6220 1.6220 -7.5718
Ti Zn Tc
2 2 1
Direct
0.0907 0.0907 0.0000
0.9093 0.9093 0.0000
0.2500 0.7500 0.5000
0.7500 0.2500 0.5000
0.5000 0.5000 0.0000